La5Pm3Nd: optimized geometry, PBE-GGA.

Results
Density of states at the Fermi level ... 1.562 states/eV/atom
Calculated density ... 6.31 Mg/m³
Formation energy ... 0.225 eV per atom

a = 10.1289 Å, b = 10.1289 Å, c = 11.5919 Å
α = 113.33°, β = 113.33°, γ = 38.37°
Element x y z (fractional)
1 La 0.0238 0.6406 0.2872
2 La 0.0929 0.9071 0.7500
3 La 0.1516 0.5090 0.6376
4 La 0.3594 0.9762 0.2128
5 La 0.4910 0.8484 0.8624
6 La 0.5090 0.1516 0.1376
7 La 0.6406 0.0238 0.7872
8 La 0.8484 0.4910 0.3624
9 La 0.9071 0.0929 0.2500
10 La 0.9762 0.3594 0.7128
11 Pm 0.0432 0.6345 0.9847
12 Pm 0.3655 0.9568 0.5153
13 Pm 0.5000 0.5000 0.0000
14 Pm 0.5000 0.5000 0.5000
15 Pm 0.6345 0.0432 0.4847
16 Pm 0.9568 0.3655 0.0153
17 Nd 0.3674 0.6326 0.2500
18 Nd 0.6326 0.3674 0.7500